[1]
Here is Dy3Sb2H2 after structural relaxation from the Alexandria database. Energies are from PBE.

Calculated values
The value obtained for the total DFT energy (no corrections) is -4.881 eV per atom. Its crystal system is monoclinic.

```
data_Dy3Sb2H2
_chemical_formula_sum 'Dy6 Sb4 H4'
_cell_length_a 8.235
_cell_length_b 7.118
_cell_length_c 6.231
_cell_angle_alpha 90.00
_cell_angle_beta 59.76
_cell_angle_gamma 90.00
_symmetry_space_group_name_H-M 'P 1'
_symmetry_Int_Tables_number 1
_symmetry_space_group_name_Hall 'P 1'
loop_
_atom_site_label
_atom_site_fract_x
_atom_site_fract_y
_atom_site_fract_z
_atom_site_occupancy
H1 0.164 0.142 0.654 1
H2 0.336 0.642 0.346 1
H3 0.836 0.858 0.346 1
H4 0.664 0.358 0.654 1
Dy1 0.500 0.500 0.000 1
Dy2 0.279 0.940 0.356 1
Dy3 0.721 0.060 0.644 1
Dy4 0.000 0.000 0.000 1
Dy5 0.221 0.440 0.644 1
Dy6 0.779 0.560 0.356 1
Sb1 0.614 0.199 0.231 1
Sb2 0.386 0.801 0.769 1
Sb3 0.114 0.301 0.231 1
Sb4 0.886 0.699 0.769 1
```


[2]
Here is Th7InFe2 after structural relaxation from the Alexandria database. Energies are from PBE.

Calculated values
The value obtained for the calculated formation energy is 54 meV/atom. The value obtained for the total DFT energy (no corrections) is -7.106 eV per atom. Its crystal system is orthorhombic.

```
data_Th7InFe2
_chemical_formula_sum 'Th7 In1 Fe2'
_cell_length_a 4.932
_cell_length_b 8.219
_cell_length_c 8.219
_cell_angle_alpha 113.21
_cell_angle_beta 90.00
_cell_angle_gamma 90.00
_symmetry_space_group_name_H-M 'P 1'
_symmetry_Int_Tables_number 1
_symmetry_space_group_name_Hall 'P 1'
loop_
_atom_site_label
_atom_site_fract_x
_atom_site_fract_y
_atom_site_fract_z
_atom_site_occupancy
In1 0.000 0.000 0.000 1
Th1 0.500 0.688 0.951 1
Th2 0.500 0.312 0.049 1
Th3 0.500 0.049 0.312 1
Th4 0.000 0.296 0.704 1
Th5 0.500 0.951 0.688 1
Th6 0.500 0.500 0.500 1
Th7 0.000 0.704 0.296 1
Fe1 0.500 0.684 0.316 1
Fe2 0.500 0.316 0.684 1
```


[3]
Here is Na4BiPb2 after structural relaxation from the Alexandria database. Energies are from PBE.

Calculated values
The value obtained for the calculated formation energy is 56 meV/atom. The value obtained for the total DFT energy (no corrections) is -2.311 eV per atom. Its crystal system is tetragonal.

```
data_Na4BiPb2
_chemical_formula_sum 'Na4 Bi1 Pb2'
_cell_length_a 6.097
_cell_length_b 6.097
_cell_length_c 8.786
_cell_angle_alpha 69.70
_cell_angle_beta 69.70
_cell_angle_gamma 90.00
_symmetry_space_group_name_H-M 'P 1'
_symmetry_Int_Tables_number 1
_symmetry_space_group_name_Hall 'P 1'
loop_
_atom_site_label
_atom_site_fract_x
_atom_site_fract_y
_atom_site_fract_z
_atom_site_occupancy
Pb1 0.404 0.404 0.191 1
Pb2 0.596 0.596 0.809 1
Na1 0.802 0.802 0.396 1
Na2 0.198 0.198 0.604 1
Na3 0.000 0.500 0.000 1
Na4 0.500 0.000 0.000 1
Bi1 0.000 0.000 0.000 1
```


[4]
Here is NaSrYPb after structural relaxation from the Alexandria database. Energies are from PBE.

Calculated values
The value obtained for the calculated formation energy is -199 meV/atom. The value obtained for the total DFT energy (no corrections) is -3.492 eV per atom. Its crystal system is cubic.

```
data_NaSrYPb
_chemical_formula_sum 'Na1 Sr1 Y1 Pb1'
_cell_length_a 5.649
_cell_length_b 5.649
_cell_length_c 5.649
_cell_angle_alpha 60.00
_cell_angle_beta 60.00
_cell_angle_gamma 60.00
_symmetry_space_group_name_H-M 'P 1'
_symmetry_Int_Tables_number 1
_symmetry_space_group_name_Hall 'P 1'
loop_
_atom_site_label
_atom_site_fract_x
_atom_site_fract_y
_atom_site_fract_z
_atom_site_occupancy
Y1 0.750 0.750 0.750 1
Pb1 0.500 0.500 0.500 1
Na1 0.000 0.000 0.000 1
Sr1 0.250 0.250 0.250 1
```


[5]
Here is SrCoGe2Pd after structural relaxation from the Alexandria database. Energies are from PBE.

Calculated values
The value obtained for the calculated formation energy is -521 meV/atom. The value obtained for the total DFT energy (no corrections) is -5.164 eV per atom. Its crystal system is tetragonal.

```
data_SrCoGe2Pd
_chemical_formula_sum 'Sr1 Co1 Ge2 Pd1'
_cell_length_a 4.259
_cell_length_b 4.259
_cell_length_c 6.077
_cell_angle_alpha 110.51
_cell_angle_beta 110.51
_cell_angle_gamma 90.00
_symmetry_space_group_name_H-M 'P 1'
_symmetry_Int_Tables_number 1
_symmetry_space_group_name_Hall 'P 1'
loop_
_atom_site_label
_atom_site_fract_x
_atom_site_fract_y
_atom_site_fract_z
_atom_site_occupancy
Ge1 0.633 0.633 0.265 1
Ge2 0.367 0.367 0.735 1
Co1 0.750 0.250 0.500 1
Pd1 0.250 0.750 0.500 1
Sr1 0.000 0.000 0.000 1
```


[6]
Here is Y4ZnPd2 after structural relaxation from the Alexandria database. Energies are from PBE.

Calculated values
The value obtained for the calculated formation energy is -558 meV/atom. The value obtained for the total DFT energy (no corrections) is -5.917 eV per atom. Its energy above the most stable polymorph in this dataset is 0.000 eV per atom. Its crystal system is trigonal.

```
data_Y4ZnPd2
_chemical_formula_sum 'Y4 Zn1 Pd2'
_cell_length_a 4.967
_cell_length_b 4.967
_cell_length_c 8.574
_cell_angle_alpha 73.16
_cell_angle_beta 73.16
_cell_angle_gamma 60.00
_symmetry_space_group_name_H-M 'P 1'
_symmetry_Int_Tables_number 1
_symmetry_space_group_name_Hall 'P 1'
loop_
_atom_site_label
_atom_site_fract_x
_atom_site_fract_y
_atom_site_fract_z
_atom_site_occupancy
Pd1 0.750 0.750 0.750 1
Pd2 0.250 0.250 0.250 1
Y1 0.622 0.622 0.133 1
Y2 0.127 0.127 0.620 1
Y3 0.873 0.873 0.380 1
Y4 0.378 0.378 0.867 1
Zn1 0.000 0.000 0.000 1
```